Na3Tb3MoO8 after structural relaxation, computed with PBE with a Hubbard U.

Properties
The calculation puts the size of the total moment at 2.00 μB per cell. The calculation puts the total energy at -103.17 eV/cell. For the calculated volume, the calculation gives 222.4 Å³/f.u.

Lattice parameters (Å, degrees): 6.799 6.799 6.791 119.69 119.69 59.63
Atoms (fractional coordinates):
1 Na 0.000 0.000 0.000
2 Na 0.000 0.500 0.000
3 Na 0.500 0.000 0.000
4 Tb 0.000 0.500 0.500
5 Tb 0.500 0.000 0.500
6 Tb 0.500 0.500 0.500
7 Mo 0.000 0.000 0.500
8 O 0.217 0.762 0.697
9 O 0.224 0.224 0.701
10 O 0.238 0.783 0.303
11 O 0.265 0.265 0.290
12 O 0.735 0.735 0.710
13 O 0.762 0.217 0.697
14 O 0.776 0.776 0.299
15 O 0.783 0.238 0.303